# MgSi2Sb | Alexandria via LeMat-Bulk | PBE | optimized geometry
# Uncorrected energy: -3.685 eV/atom
# Total moment: 0.000 μB per cell
# Polymorph energy (0 for the lowest one): 29.9 kJ per mole of atoms
# Raw formation energy: 456 meV/atom
data_MgSi2Sb
_symmetry_space_group_name_H-M 'R -3 m'
_symmetry_Int_Tables_number 166
_symmetry_space_group_name_Hall '-R 3 2"'
_cell_length_a 3.1837
_cell_length_b 3.1837
_cell_length_c 27.6137
_cell_angle_alpha 90.00
_cell_angle_beta 90.00
_cell_angle_gamma 120.00
loop_
_atom_site_label
_atom_site_type_symbol
_atom_site_fract_x
_atom_site_fract_y
_atom_site_fract_z
Mg1 Mg 0.0000 0.0000 0.0000
Si1 Si 0.0000 0.0000 0.2547
Sb1 Sb 0.0000 0.0000 0.5000